Entry from Alexandria via LeMat-Bulk: crystalline MgWO2 at its relaxed geometry (GGA+U).

Geometry as CIF:
```
data_MgWO2
_cell_length_a 4.866
_cell_length_b 4.866
_cell_length_c 9.490
_cell_angle_alpha 90.00
_cell_angle_beta 90.00
_cell_angle_gamma 90.00
_space_group_name_H-M_alt 'I -4 2 d'
_space_group_IT_number 122
_space_group_name_Hall 'I -4 2bw'
loop_
_atom_site_label
_atom_site_fract_x
_atom_site_fract_y
_atom_site_fract_z
Mg1 0.000 0.000 0.000
W1 0.000 0.000 0.500
O1 0.221 0.250 0.125
```

Calculated values
- E (eV per atom) = -6.027
- total magnetization (μB per formula unit) = 3.9